Compound: ZrBeSiOs
Source: the Open Quantum Materials Database
Functional: PBE
Structure: relaxed

Calculated values
- E (eV per atom) = -7.454
- energy above the most stable polymorph in this dataset (meV/atom) = 49

a b c (Å): 4.3374 4.3374 4.3374
angles (deg): 60.00 60.00 60.00
With the nearest neighbours (Å) after each atom.
Fractional positions:
Si 0.5000 0.5000 0.5000  4 Be 2.66, 4 Os 2.66
Be 0.7500 0.7500 0.7500  4 Zr 2.66, 4 Si 2.66
Zr 0.0000 0.0000 0.0000  4 Os 2.66, 4 Be 2.66
Os 0.2500 0.2500 0.2500  4 Zr 2.66, 4 Si 2.66